KCu | PBE | relaxed

The structure in extended XYZ format:
```
8
Lattice="-1.680 -0.889 3.850 0.675 -3.159 -2.829 16.078 -2.359 6.471" Properties=species:S:1:pos:R:3 pbc="T T T"
Cu 3.124 -2.235 3.242
Cu 12.058 -1.769 4.853
Cu 11.948 -4.171 4.251
Cu 4.019 -0.590 1.618
K 5.993 -3.298 1.854
K 1.826 -2.686 0.177
K 13.247 -3.720 7.316
K 9.079 -3.109 5.638
```

Properties
E_tot, eV/atom: -2.3499
Symmetry: P6_3/mmc
Formation energy from the elements, eV per atom: 0.25
Total magnetic moment, Bohr magnetons per cell: 0.0